Entry from Alexandria: an optimized crystal structure of TcPHOs2 (PBE).

Summary:
The value obtained for the calculated volume is 64 Å³ per cell. Its total energy is -7.5624 eV per atom. Its space group is No. 123.

Unit cell a=4.669 b=4.669 c=2.924 alpha=90.00 beta=90.00 gamma=90.00
Atoms (fractional coordinates):
Tc: 0.000 0.000 0.000
P: 0.500 0.500 0.500
H: 0.500 0.500 0.000
Os: 0.000 0.500 0.500
Os: 0.500 0.000 0.500